## a
Below is crystalline As2IrW at its relaxed geometry, with properties calculated at the PBE level.

Properties
crystal system: monoclinic

Unit cell a=2.802 b=4.183 c=6.872 alpha=90.00 beta=101.53 gamma=90.00
Space group Pm (No. 6)
Unique sites:
As  0.000  0.000  0.000 [1 per cell]
As  0.281  0.500  0.572 [1 per cell]
Ir  0.102  0.500  0.207 [1 per cell]
W  0.676  0.000  0.358 [1 per cell]

---

## b
Below is crystalline As2IrW at its relaxed geometry, with properties calculated at the PBE level.

Properties
crystal system: trigonal

Unit cell a=3.0203 b=3.0203 c=23.9749 alpha=90.00 beta=90.00 gamma=120.00
Space group R-3m (No. 166, hexagonal axes)
Unique sites:
As  0.0000  0.0000  0.2492 [6 per cell]
Ir  0.0000  0.0000  0.0000 [3 per cell]
W  0.0000  0.0000  0.5000 [3 per cell]

---

## c
Below is crystalline As2IrW at its relaxed geometry, with properties calculated at the PBE level.

Properties
crystal system: orthorhombic

Unit cell a=2.832 b=4.132 c=5.592 alpha=90.00 beta=90.00 gamma=90.00
Space group Pmm2 (No. 25)
Unique sites:
As  0.000  0.000  0.000 [1 per cell]
As  0.500  0.500  0.358 [1 per cell]
Ir  0.000  0.000  0.549 [1 per cell]
W  0.500  0.500  0.807 [1 per cell]

---

## d
Below is crystalline As2IrW at its relaxed geometry, with properties calculated at the PBE level.

Properties
crystal system: tetragonal

Unit cell a=5.685 b=5.685 c=10.823 alpha=90.00 beta=90.00 gamma=90.00
Space group I-42d (No. 122)
Unique sites:
As  0.241  0.250  0.125 [8 per cell]
Ir  0.000  0.000  0.000 [4 per cell]
W  0.000  0.000  0.500 [4 per cell]

---

It is d that is the least stable of them.

---

## a
Below is crystalline As2IrW at its relaxed geometry, with properties calculated at the PBE level.

Properties
crystal system: orthorhombic

Unit cell a=3.092 b=4.306 c=9.577 alpha=90.00 beta=90.00 gamma=90.00
Space group Imm2 (No. 44)
Unique sites:
As  0.000  0.000  0.000 [2 per cell]
As  0.000  0.500  0.226 [2 per cell]
Ir  0.000  0.000  0.506 [2 per cell]
W  0.000  0.500  0.738 [2 per cell]

---

## b
Below is crystalline As2IrW at its relaxed geometry, with properties calculated at the PBE level.

Properties
crystal system: orthorhombic

Unit cell a=2.971 b=3.130 c=7.206 alpha=90.00 beta=90.00 gamma=90.00
Space group Pmmm (No. 47)
Unique sites:
As  0.000  0.000  0.219 [2 per cell]
Ir  0.500  0.000  0.500 [1 per cell]
W  0.500  0.500  0.000 [1 per cell]

---

## c
Below is crystalline As2IrW at its relaxed geometry, with properties calculated at the PBE level.

Properties
crystal system: tetragonal

Unit cell a=2.862 b=2.862 c=9.181 alpha=90.00 beta=90.00 gamma=90.00
Space group P4mm (No. 99)
Unique sites:
As  0.000  0.000  0.000 [1 per cell]
As  0.500  0.500  0.396 [1 per cell]
Ir  0.000  0.000  0.592 [1 per cell]
W  0.500  0.500  0.794 [1 per cell]

---

## d
Below is crystalline As2IrW at its relaxed geometry, with properties calculated at the PBE level.

Properties
crystal system: orthorhombic

Unit cell a=2.997 b=4.233 c=5.152 alpha=90.00 beta=90.00 gamma=90.00
Space group Pmmm (No. 47)
Unique sites:
As  0.000  0.000  0.000 [1 per cell]
As  0.500  0.000  0.500 [1 per cell]
Ir  0.000  0.500  0.500 [1 per cell]
W  0.500  0.500  0.000 [1 per cell]

---

It is d that is the least stable of them.

---

## a
Below is crystalline As2IrW at its relaxed geometry, with properties calculated at the PBE level.

Properties
crystal system: cubic

Unit cell a=6.262 b=6.262 c=6.262 alpha=90.00 beta=90.00 gamma=90.00
Space group Fm-3m (No. 225)
Unique sites:
As  0.250  0.250  0.250 [8 per cell]
Ir  0.000  0.000  0.000 [4 per cell]
W  0.000  0.000  0.500 [4 per cell]

---

## b
Below is crystalline As2IrW at its relaxed geometry, with properties calculated at the PBE level.

Properties
crystal system: monoclinic

Unit cell a=8.229 b=2.968 c=5.237 alpha=90.00 beta=99.95 gamma=90.00
Space group C2/m (No. 12)
Unique sites:
As  0.245  0.000  0.241 [4 per cell]
Ir  0.000  0.000  0.500 [2 per cell]
W  0.000  0.500  0.000 [2 per cell]

---

It is b that is the least stable of them.

---

## a
Below is crystalline As2IrW at its relaxed geometry, with properties calculated at the PBE level.

Properties
crystal system: monoclinic

Unit cell a=8.523 b=3.360 c=4.806 alpha=90.00 beta=106.90 gamma=90.00
Space group Cm (No. 8)
Unique sites:
As  0.000  0.000  0.000 [2 per cell]
As  0.234  0.000  0.596 [2 per cell]
Ir  0.246  0.500  0.191 [2 per cell]
W  0.016  0.500  0.588 [2 per cell]

---

## b
Below is crystalline As2IrW at its relaxed geometry, with properties calculated at the PBE level.

Properties
crystal system: tetragonal

Unit cell a=4.366 b=4.366 c=3.206 alpha=90.00 beta=90.00 gamma=90.00
Space group P4/mmm (No. 123)
Unique sites:
As  0.000  0.500  0.000 [2 per cell]
Ir  0.000  0.000  0.500 [1 per cell]
W  0.500  0.500  0.500 [1 per cell]

---

## c
Below is crystalline As2IrW at its relaxed geometry, with properties calculated at the PBE level.

Properties
crystal system: orthorhombic

Unit cell a=3.532 b=4.712 c=7.744 alpha=90.00 beta=90.00 gamma=90.00
Space group Cmmm (No. 65)
Unique sites:
As  0.000  0.000  0.243 [4 per cell]
Ir  0.000  0.500  0.000 [2 per cell]
W  0.000  0.500  0.500 [2 per cell]

---

It is c that is the least stable of them.

---

## a
Below is crystalline As2IrW2 at its relaxed geometry, with properties calculated at the PBE level.

Properties
crystal system: tetragonal

Unit cell a=4.380 b=4.380 c=9.083 alpha=90.00 beta=90.00 gamma=90.00
Space group I4/mmm (No. 139)
Unique sites:
As  0.000  0.000  0.126 [4 per cell]
Ir  0.000  0.000  0.500 [2 per cell]
W  0.000  0.500  0.250 [4 per cell]

---

## b
Below is crystalline As2IrW2 at its relaxed geometry, with properties calculated at the PBE level.

Properties
crystal system: tetragonal

Unit cell a=7.158 b=7.158 c=3.073 alpha=90.00 beta=90.00 gamma=90.00
Space group P4/mbm (No. 127)
Unique sites:
As  0.153  0.347  0.000 [4 per cell]
Ir  0.000  0.000  0.000 [2 per cell]
W  0.145  0.645  0.500 [4 per cell]

---

It is a that is the least stable of them.

---

## a
Below is crystalline ZnAsIr at its relaxed geometry, with properties calculated at the PBE level.

Properties
crystal system: orthorhombic

Unit cell a=2.986 b=12.939 c=5.025 alpha=90.00 beta=90.00 gamma=90.00
Space group Cmcm (No. 63)
Unique sites:
Zn  0.000  0.000  0.000 [4 per cell]
As  0.000  0.298  0.250 [4 per cell]
Ir  0.000  0.359  0.750 [4 per cell]

---

## b
Below is crystalline ZnAsIr at its relaxed geometry, with properties calculated at the PBE level.

Properties
crystal system: orthorhombic

Unit cell a=3.037 b=6.737 c=4.894 alpha=90.00 beta=90.00 gamma=90.00
Space group Pmn2_1 (No. 31)
Unique sites:
Zn  0.000  0.019  0.000 [2 per cell]
As  0.000  0.595  0.794 [2 per cell]
Ir  0.000  0.700  0.293 [2 per cell]

---

## c
Below is crystalline ZnAsIr at its relaxed geometry, with properties calculated at the PBE level.

Properties
crystal system: orthorhombic

Unit cell a=2.821 b=4.935 c=14.434 alpha=90.00 beta=90.00 gamma=90.00
Space group Fmm2 (No. 42)
Unique sites:
Zn  0.000  0.000  0.000 [4 per cell]
As  0.000  0.000  0.301 [4 per cell]
Ir  0.000  0.000  0.653 [4 per cell]

---

## d
Below is crystalline ZnAsIr at its relaxed geometry, with properties calculated at the PBE level.

Properties
crystal system: orthorhombic

Unit cell a=3.074 b=3.617 c=8.396 alpha=90.00 beta=90.00 gamma=90.00
Space group Imm2 (No. 44)
Unique sites:
Zn  0.000  0.000  0.000 [2 per cell]
As  0.000  0.000  0.688 [2 per cell]
Ir  0.000  0.000  0.323 [2 per cell]

---

It is c that is the least stable of them.

---

## a
Below is crystalline ZnAs3Ir at its relaxed geometry, with properties calculated at the PBE level.

Properties
crystal system: cubic

Unit cell a=4.665 b=4.665 c=4.665 alpha=90.00 beta=90.00 gamma=90.00
Space group Pm-3m (No. 221)
Unique sites:
Zn  0.000  0.000  0.000 [1 per cell]
As  0.000  0.000  0.500 [3 per cell]
Ir  0.500  0.500  0.500 [1 per cell]

---

## b
Below is crystalline ZnAs3Ir at its relaxed geometry, with properties calculated at the PBE level.

Properties
crystal system: cubic

Unit cell a=4.888 b=4.888 c=4.888 alpha=90.00 beta=90.00 gamma=90.00
Space group Pm-3m (No. 221)
Unique sites:
Zn  0.000  0.000  0.000 [1 per cell]
As  0.000  0.500  0.500 [3 per cell]
Ir  0.500  0.500  0.500 [1 per cell]

---

It is a that is the least stable of them.

---

## a
Below is crystalline ZnAsIr3 at its relaxed geometry, with properties calculated at the PBE level.

Properties
crystal system: cubic

Unit cell a=4.541 b=4.541 c=4.541 alpha=90.00 beta=90.00 gamma=90.00
Space group Pm-3m (No. 221)
Unique sites:
Zn  0.000  0.000  0.000 [1 per cell]
As  0.500  0.500  0.500 [1 per cell]
Ir  0.000  0.000  0.500 [3 per cell]

---

## b
Below is crystalline ZnAsIr3 at its relaxed geometry, with properties calculated at the PBE level.

Properties
crystal system: cubic

Unit cell a=4.553 b=4.553 c=4.553 alpha=90.00 beta=90.00 gamma=90.00
Space group Pm-3m (No. 221)
Unique sites:
Zn  0.000  0.000  0.000 [1 per cell]
As  0.500  0.500  0.500 [1 per cell]
Ir  0.000  0.500  0.500 [3 per cell]

---

It is a that is the least stable of them.